NiClO2 | PBE+U | optimized geometry

Cell: 6.1373 6.1373 6.1373 Å, 34.71 34.71 34.71°
Positions (direct):
Ni 0.0000 0.0000 0.0000
O 0.9000 0.9000 0.9000
O 0.1000 0.1000 0.1000
Cl 0.5000 0.5000 0.5000

Computed properties:
Size of the total moment (μB/f.u.): 0.2
Total DFT energy (no corrections) (eV per formula unit): -11.38
Space group: R-3m
Fermi-level density of states (states/eV/atom): 0.7844